# 1
# PBE Cs2Na5CdHg2, optimized geometry
data_Cs2Na5CdHg2
_symmetry_space_group_name_H-M 'P 1'
_symmetry_Int_Tables_number 1
_cell_length_a 13.5229
_cell_length_b 13.5229
_cell_length_c 4.1932
_cell_angle_alpha 90.00
_cell_angle_beta 90.00
_cell_angle_gamma 90.00
loop_
_symmetry_equiv_pos_as_xyz
'x,y,z'
loop_
_atom_site_label
_atom_site_type_symbol
_atom_site_fract_x
_atom_site_fract_y
_atom_site_fract_z
_atom_site_occupancy
Cs1 Cs 0.1751 0.3249 0.0000 1
Cs2 Cs 0.3249 0.8249 0.0000 1
Cs3 Cs 0.6751 0.1751 0.0000 1
Cs4 Cs 0.8249 0.6751 0.0000 1
Na1 Na 0.0000 0.5000 0.5000 1
Na2 Na 0.0588 0.8100 0.5000 1
Na3 Na 0.1900 0.0588 0.5000 1
Na4 Na 0.3100 0.5588 0.5000 1
Na5 Na 0.4412 0.3100 0.5000 1
Na6 Na 0.5000 0.0000 0.5000 1
Na7 Na 0.5588 0.6900 0.5000 1
Na8 Na 0.6900 0.4412 0.5000 1
Na9 Na 0.8100 0.9412 0.5000 1
Na10 Na 0.9412 0.1900 0.5000 1
Cd1 Cd 0.0000 0.0000 0.0000 1
Cd2 Cd 0.5000 0.5000 0.0000 1
Hg1 Hg 0.1276 0.6276 0.0000 1
Hg2 Hg 0.3724 0.1276 0.0000 1
Hg3 Hg 0.6276 0.8724 0.0000 1
Hg4 Hg 0.8724 0.3724 0.0000 1
# ΔH_f (0 K) in eV/atom: -0.08
# D(E_F) in states/eV/atom: 0.49
# Calculated total energy in eV/cell: -21.2

=====

# 2
# PBE Cs2NaCdHg, optimized geometry
data_Cs2NaCdHg
_symmetry_space_group_name_H-M 'P 1'
_symmetry_Int_Tables_number 1
_cell_length_a 7.3823
_cell_length_b 7.3823
_cell_length_c 5.9610
_cell_angle_alpha 90.00
_cell_angle_beta 90.00
_cell_angle_gamma 90.00
loop_
_symmetry_equiv_pos_as_xyz
'x,y,z'
loop_
_atom_site_label
_atom_site_type_symbol
_atom_site_fract_x
_atom_site_fract_y
_atom_site_fract_z
_atom_site_occupancy
Cs1 Cs 0.0000 0.5000 0.0000 1
Cs2 Cs 0.5000 0.0000 0.0000 1
Na1 Na 0.0000 0.0000 0.5000 1
Cd1 Cd 0.0000 0.0000 0.0000 1
Hg1 Hg 0.5000 0.5000 0.5000 1
# ΔH_f (0 K) in eV/atom: 0.04
# D(E_F) in states/eV/atom: 1.09
# Calculated total energy in eV/cell: -4.0

=====

# 3
# PBE Cs2Na3CdHg4, optimized geometry
data_Cs2Na3CdHg4
_symmetry_space_group_name_H-M 'P 1'
_symmetry_Int_Tables_number 1
_cell_length_a 5.3267
_cell_length_b 5.3267
_cell_length_c 12.9092
_cell_angle_alpha 90.00
_cell_angle_beta 90.00
_cell_angle_gamma 90.00
loop_
_symmetry_equiv_pos_as_xyz
'x,y,z'
loop_
_atom_site_label
_atom_site_type_symbol
_atom_site_fract_x
_atom_site_fract_y
_atom_site_fract_z
_atom_site_occupancy
Cs1 Cs 0.0000 0.5000 0.2497 1
Cs2 Cs 0.5000 0.0000 0.7503 1
Na1 Na 0.0000 0.0000 0.0000 1
Na2 Na 0.0000 0.5000 0.6283 1
Na3 Na 0.5000 0.0000 0.3717 1
Cd1 Cd 0.5000 0.5000 0.0000 1
Hg1 Hg 0.0000 0.0000 0.5000 1
Hg2 Hg 0.0000 0.5000 0.8708 1
Hg3 Hg 0.5000 0.0000 0.1292 1
Hg4 Hg 0.5000 0.5000 0.5000 1
# ΔH_f (0 K) in eV/atom: -0.17
# D(E_F) in states/eV/atom: 0.65
# Calculated total energy in eV/cell: -9.5

=====

# 4
# PBE CsNa2CdHg4, optimized geometry
data_CsNa2CdHg4
_symmetry_space_group_name_H-M 'P 1'
_symmetry_Int_Tables_number 1
_cell_length_a 11.1580
_cell_length_b 11.1580
_cell_length_c 11.1580
_cell_angle_alpha 27.76
_cell_angle_beta 27.76
_cell_angle_gamma 27.76
loop_
_symmetry_equiv_pos_as_xyz
'x,y,z'
loop_
_atom_site_label
_atom_site_type_symbol
_atom_site_fract_x
_atom_site_fract_y
_atom_site_fract_z
_atom_site_occupancy
Cs1 Cs 0.0000 0.0000 0.0000 1
Na1 Na 0.2200 0.2200 0.2200 1
Na2 Na 0.7800 0.7800 0.7800 1
Cd1 Cd 0.5000 0.5000 0.5000 1
Hg1 Hg 0.1195 0.1195 0.1195 1
Hg2 Hg 0.4071 0.4071 0.4071 1
Hg3 Hg 0.5929 0.5929 0.5929 1
Hg4 Hg 0.8805 0.8805 0.8805 1
# ΔH_f (0 K) in eV/atom: -0.19
# D(E_F) in states/eV/atom: 0.50
# Calculated total energy in eV/cell: -7.2

=====

# 5
# PBE CsNaCdHg3, optimized geometry
data_CsNaCdHg3
_symmetry_space_group_name_H-M 'P 1'
_symmetry_Int_Tables_number 1
_cell_length_a 8.4574
_cell_length_b 8.4574
_cell_length_c 7.3850
_cell_angle_alpha 90.00
_cell_angle_beta 90.00
_cell_angle_gamma 125.84
loop_
_symmetry_equiv_pos_as_xyz
'x,y,z'
loop_
_atom_site_label
_atom_site_type_symbol
_atom_site_fract_x
_atom_site_fract_y
_atom_site_fract_z
_atom_site_occupancy
Cs1 Cs 0.2096 0.7904 0.7500 1
Cs2 Cs 0.7904 0.2096 0.2500 1
Na1 Na 0.4509 0.5491 0.7500 1
Na2 Na 0.5491 0.4509 0.2500 1
Cd1 Cd 0.1307 0.8693 0.2500 1
Cd2 Cd 0.8693 0.1307 0.7500 1
Hg1 Hg 0.2030 0.2030 0.0000 1
Hg2 Hg 0.2030 0.2030 0.5000 1
Hg3 Hg 0.3400 0.6600 0.2500 1
Hg4 Hg 0.6600 0.3400 0.7500 1
Hg5 Hg 0.7970 0.7970 0.0000 1
Hg6 Hg 0.7970 0.7970 0.5000 1
# ΔH_f (0 K) in eV/atom: -0.12
# D(E_F) in states/eV/atom: 0.53
# Calculated total energy in eV/cell: -9.5

=====

# 6
# PBE CsNa2CdHg, optimized geometry
data_CsNa2CdHg
_symmetry_space_group_name_H-M 'P 1'
_symmetry_Int_Tables_number 1
_cell_length_a 5.9785
_cell_length_b 5.9785
_cell_length_c 5.9850
_cell_angle_alpha 90.00
_cell_angle_beta 90.00
_cell_angle_gamma 90.00
loop_
_symmetry_equiv_pos_as_xyz
'x,y,z'
loop_
_atom_site_label
_atom_site_type_symbol
_atom_site_fract_x
_atom_site_fract_y
_atom_site_fract_z
_atom_site_occupancy
Cs1 Cs 0.0000 0.0000 0.0000 1
Na1 Na 0.0000 0.5000 0.5000 1
Na2 Na 0.5000 0.0000 0.5000 1
Cd1 Cd 0.5000 0.5000 0.0000 1
Hg1 Hg 0.5000 0.5000 0.5000 1
# ΔH_f (0 K) in eV/atom: -0.05
# D(E_F) in states/eV/atom: 0.52
# Calculated total energy in eV/cell: -5.0

=====

# 7
# PBE Cs2NaCdHg, optimized geometry
data_Cs2NaCdHg
_symmetry_space_group_name_H-M 'P 1'
_symmetry_Int_Tables_number 1
_cell_length_a 7.2406
_cell_length_b 7.2406
_cell_length_c 5.8138
_cell_angle_alpha 90.00
_cell_angle_beta 90.00
_cell_angle_gamma 90.00
loop_
_symmetry_equiv_pos_as_xyz
'x,y,z'
loop_
_atom_site_label
_atom_site_type_symbol
_atom_site_fract_x
_atom_site_fract_y
_atom_site_fract_z
_atom_site_occupancy
Cs1 Cs 0.0000 0.5000 0.0000 1
Cs2 Cs 0.5000 0.0000 0.0000 1
Na1 Na 0.0000 0.0000 0.5000 1
Cd1 Cd 0.5000 0.5000 0.5000 1
Hg1 Hg 0.5000 0.5000 0.0000 1
# ΔH_f (0 K) in eV/atom: 0.00
# D(E_F) in states/eV/atom: 0.56
# Calculated total energy in eV/cell: -4.2

=====

# 8
# PBE CsNaCd2Hg, optimized geometry
data_CsNaCd2Hg
_symmetry_space_group_name_H-M 'P 1'
_symmetry_Int_Tables_number 1
_cell_length_a 5.0912
_cell_length_b 5.1494
_cell_length_c 13.5291
_cell_angle_alpha 90.00
_cell_angle_beta 90.00
_cell_angle_gamma 90.00
loop_
_symmetry_equiv_pos_as_xyz
'x,y,z'
loop_
_atom_site_label
_atom_site_type_symbol
_atom_site_fract_x
_atom_site_fract_y
_atom_site_fract_z
_atom_site_occupancy
Cs1 Cs 0.0000 0.0000 0.0000 1
Cs2 Cs 0.5000 0.5000 0.5000 1
Na1 Na 0.0000 0.5000 0.7559 1
Na2 Na 0.5000 0.0000 0.2559 1
Cd1 Cd 0.0000 0.0000 0.6204 1
Cd2 Cd 0.0000 0.5000 0.2505 1
Cd3 Cd 0.5000 0.0000 0.7505 1
Cd4 Cd 0.5000 0.5000 0.1204 1
Hg1 Hg 0.0000 0.0000 0.3912 1
Hg2 Hg 0.5000 0.5000 0.8912 1
# ΔH_f (0 K) in eV/atom: -0.11
# D(E_F) in states/eV/atom: 0.55
# Calculated total energy in eV/cell: -9.7